No. 1
The following is a DFT calculation (PBE) of a relaxed TaTlO12 crystal.

SG   No. 227
DOS at the Fermi energy   15.2 states/eV/cell
Crystal system   cubic
Formation energy without anion corrections   354 meV per atom
Total magnetic moment   0.15 μB per atom

Cell lengths 7.744, 7.744, 7.744 Å; angles 60.00, 60.00, 60.00 degrees
Element x y z (fractional)
O1 0.011 0.773 0.443
O2 0.773 0.443 0.011
O3 0.239 0.477 0.807
O4 0.011 0.443 0.773
O5 0.477 0.807 0.477
O6 0.443 0.773 0.773
O7 0.807 0.477 0.477
O8 0.011 0.773 0.773
O9 0.443 0.011 0.773
Ta1 0.500 0.500 0.500
Ta2 0.750 0.750 0.750
O10 0.477 0.807 0.239
O11 0.807 0.477 0.239
O12 0.773 0.443 0.773
O13 0.443 0.773 0.011
O14 0.239 0.477 0.477
O15 0.477 0.477 0.239
O16 0.477 0.239 0.807
O17 0.807 0.239 0.477
Tl1 0.250 0.250 0.250
O18 0.773 0.773 0.011
O19 0.477 0.477 0.807
Tl2 0.000 0.000 0.000
O20 0.239 0.807 0.477
O21 0.773 0.011 0.443
O22 0.773 0.773 0.443
O23 0.773 0.011 0.773
O24 0.477 0.239 0.477

No. 2
The following is a DFT calculation (PBE) of a relaxed KGe2Sb2 crystal.

Excess energy over the best structure of this formula in the dataset   90 meV per atom
SG   No. 127
DOS at the Fermi energy   4.2 states/eV/cell
Crystal system   tetragonal
Formation energy without anion corrections   26 meV per atom
Total magnetic moment   0.00 μB per atom

Cell lengths 8.566, 8.566, 3.769 Å; angles 90.00, 90.00, 90.00 degrees
Element x y z (fractional)
Sb1 0.349 0.151 0.500
Ge1 0.619 0.119 0.000
Sb2 0.151 0.651 0.500
K1 0.500 0.500 0.000
Ge2 0.119 0.381 0.000
Ge3 0.381 0.881 0.000
Sb3 0.651 0.849 0.500
Ge4 0.881 0.619 0.000
K2 0.000 0.000 0.000
Sb4 0.849 0.349 0.500

No. 3
The following is a DFT calculation (PBE) of a relaxed Tl2RhF8 crystal.

SG   No. 12
DOS at the Fermi energy   2.8 states/eV/cell
Crystal system   monoclinic
Formation energy without anion corrections   -1670 meV per atom
Total magnetic moment   0.00 μB per atom

Cell lengths 4.731, 6.116, 6.116 Å; angles 75.09, 74.97, 74.97 degrees
Element x y z (fractional)
F1 0.750 0.321 0.964
F2 0.271 0.118 0.118
F3 0.800 0.416 0.416
F4 0.750 0.964 0.321
Tl1 0.641 0.665 0.665
F5 0.250 0.679 0.036
Tl2 0.359 0.335 0.335
F6 0.250 0.036 0.679
F7 0.200 0.584 0.584
F8 0.729 0.882 0.882
Rh1 0.000 0.000 0.000